# 1
DFT (GGA-PBEsol) results for a geometry-optimized Zr3HgC structure.

Results
Total energy (eV/atom): -8.064
Calculated formation energy (kJ/mol of formula units): -274
Symmetry: Pm-3m (221)

Cell: 4.509 4.509 4.509 Å, 90.00 90.00 90.00°
Fractional positions:
Zr  0.000  0.000  0.500
Zr  0.000  0.500  0.000
Zr  0.500  0.000  0.000
Hg  0.500  0.500  0.500
C  0.000  0.000  0.000

---

# 2
DFT (GGA-PBEsol) results for a geometry-optimized CrBrF2 structure.

Results
E_form (uncorrected) (eV per atom): -0.637
Total energy (eV/atom): -4.629
Symmetry: Fm-3m (225)

Cell: 5.957 5.957 5.957 Å, 90.00 90.00 90.00°
Fractional positions:
Cr  0.000  0.000  0.000
Cr  0.000  0.500  0.500
Cr  0.500  0.000  0.500
Cr  0.500  0.500  0.000
Br  0.000  0.000  0.500
Br  0.000  0.500  0.000
Br  0.500  0.000  0.000
Br  0.500  0.500  0.500
F  0.250  0.250  0.250
F  0.250  0.250  0.750
F  0.250  0.750  0.250
F  0.250  0.750  0.750
F  0.750  0.250  0.250
F  0.750  0.250  0.750
F  0.750  0.750  0.250
F  0.750  0.750  0.750

---

# 3
DFT (GGA-PBEsol) results for a geometry-optimized MnZn2P structure.

Results
Total energy (eV/atom): -4.721
Calculated formation energy (kJ/mol of formula units): -16
Symmetry: R3m (160)

Cell: 2.755 2.755 23.874 Å, 90.00 90.00 120.00°
Fractional positions:
Mn  0.000  0.000  0.000
Mn  0.333  0.667  0.667
Mn  0.667  0.333  0.333
Zn  0.000  0.000  0.248
Zn  0.000  0.000  0.491
Zn  0.333  0.667  0.157
Zn  0.333  0.667  0.915
Zn  0.667  0.333  0.582
Zn  0.667  0.333  0.824
P  0.000  0.000  0.730
P  0.333  0.667  0.397
P  0.667  0.333  0.064

---

# 4
DFT (GGA-PBEsol) results for a geometry-optimized GaFeNO2 structure.

Results
E_form (uncorrected) (eV per atom): 0.202
Total energy (eV/atom): -6.064
Symmetry: P4/mmm (123)

Cell: 3.766 3.766 3.797 Å, 90.00 90.00 90.00°
Fractional positions:
Ga  0.000  0.000  0.000
Fe  0.500  0.500  0.500
N  0.000  0.000  0.500
O  0.000  0.500  0.000
O  0.500  0.000  0.000

---

# 5
DFT (GGA-PBEsol) results for a geometry-optimized BaSc2Cu2 structure.

Results
Total energy (eV/atom): -4.735
Calculated formation energy (kJ/mol of formula units): 34
Symmetry: I4/mmm (139)

Cell: 4.610 4.610 10.860 Å, 90.00 90.00 90.00°
Fractional positions:
Ba  0.000  0.000  0.000
Ba  0.500  0.500  0.500
Sc  0.000  0.500  0.250
Sc  0.000  0.500  0.750
Sc  0.500  0.000  0.250
Sc  0.500  0.000  0.750
Cu  0.000  0.000  0.386
Cu  0.000  0.000  0.614
Cu  0.500  0.500  0.114
Cu  0.500  0.500  0.886

---

# 6
DFT (GGA-PBEsol) results for a geometry-optimized MnAgAu structure.

Results
Total energy (eV/atom): -5.584
Calculated formation energy (kJ/mol of formula units): 24
Symmetry: Imm2 (44)

Cell: 3.211 3.438 8.611 Å, 90.00 90.00 90.00°
Fractional positions:
Mn  0.000  0.000  0.000
Mn  0.500  0.500  0.500
Ag  0.000  0.000  0.667
Ag  0.500  0.500  0.167
Au  0.000  0.000  0.343
Au  0.500  0.500  0.843

---

# 7
DFT (GGA-PBEsol) results for a geometry-optimized ErB4Ir4 structure.

Results
Total energy (eV/atom): -8.574
Calculated formation energy (kJ/mol of formula units): -471
Symmetry: P4_2/nmc (137)

Cell: 5.349 5.349 7.387 Å, 90.00 90.00 90.00°
Fractional positions:
Er  0.250  0.750  0.250
Er  0.750  0.250  0.750
B  0.077  0.250  0.097
B  0.250  0.077  0.597
B  0.250  0.423  0.597
B  0.423  0.250  0.097
B  0.577  0.750  0.903
B  0.750  0.577  0.403
B  0.750  0.923  0.403
B  0.923  0.750  0.903
Ir  0.001  0.750  0.606
Ir  0.250  0.501  0.894
Ir  0.250  0.999  0.894
Ir  0.499  0.750  0.606
Ir  0.501  0.250  0.394
Ir  0.750  0.001  0.106
Ir  0.750  0.499  0.106
Ir  0.999  0.250  0.394

---

# 8
DFT (GGA-PBEsol) results for a geometry-optimized K2LaSc structure.

Results
Total energy (eV/atom): -2.669
Calculated formation energy (kJ/mol of formula units): 342
Symmetry: Fm-3m (225)

Cell: 8.623 8.623 8.623 Å, 90.00 90.00 90.00°
Fractional positions:
K  0.250  0.250  0.250
K  0.250  0.250  0.750
K  0.250  0.750  0.250
K  0.250  0.750  0.750
K  0.750  0.250  0.250
K  0.750  0.250  0.750
K  0.750  0.750  0.250
K  0.750  0.750  0.750
La  0.000  0.000  0.000
La  0.000  0.500  0.500
La  0.500  0.000  0.500
La  0.500  0.500  0.000
Sc  0.000  0.000  0.500
Sc  0.000  0.500  0.000
Sc  0.500  0.000  0.000
Sc  0.500  0.500  0.500

---

# 9
DFT (GGA-PBEsol) results for a geometry-optimized K2SrBr structure.

Results
E_form (uncorrected) (eV per atom): -0.698
Total energy (eV/atom): -2.192
Symmetry: Cmm2 (35)

Cell: 4.479 7.246 12.111 Å, 90.00 90.00 90.00°
Fractional positions:
K  0.000  0.000  0.000
K  0.000  0.500  0.318
K  0.500  0.000  0.318
K  0.500  0.500  0.000
Sr  0.000  0.500  0.698
Sr  0.500  0.000  0.698
Br  0.000  0.000  0.517
Br  0.500  0.500  0.517

---

# 10
DFT (GGA-PBEsol) results for a geometry-optimized Li2SbTe structure.

Results
E_form (uncorrected) (eV per atom): -0.196
Total energy (eV/atom): -3.200
Symmetry: F-43m (216)

Cell: 7.233 7.233 7.233 Å, 90.00 90.00 90.00°
Fractional positions:
Li  0.000  0.000  0.000
Li  0.000  0.500  0.500
Li  0.250  0.250  0.250
Li  0.250  0.750  0.750
Li  0.500  0.000  0.500
Li  0.500  0.500  0.000
Li  0.750  0.250  0.750
Li  0.750  0.750  0.250
Sb  0.250  0.250  0.750
Sb  0.250  0.750  0.250
Sb  0.750  0.250  0.250
Sb  0.750  0.750  0.750
Te  0.000  0.000  0.500
Te  0.000  0.500  0.000
Te  0.500  0.000  0.000
Te  0.500  0.500  0.500

---

Which of these has the lowest total energy?
ErB4Ir4

---

Which of these has the lowest total energy?
ErB4Ir4

---

Number 10 is which compound?
Li2SbTe

---

total energy of number 5 (BaSc2Cu2)?
-4.735 eV/atom